# CuSO2F

A relaxed CuSO2F crystal (PBEsol, Alexandria via LeMat-Bulk).

POSCAR file:
```
CuSO2F
1.0
-0.649 -0.377 3.465
2.298 -2.697 0.136
3.174 2.749 0.893
S O Cu F
1 2 1 1
direct
0.000 0.000 0.000
0.500 0.000 0.000
0.000 0.500 0.000
0.500 0.500 0.500
0.000 0.000 0.500
```

Results
- Formation energy from raw total energies: -0.1194 eV/atom
- Symmetry: P4/mmm
- Crystal system: tetragonal

# ScCuOF2

A relaxed ScCuOF2 crystal (PBEsol, Alexandria via LeMat-Bulk).

POSCAR file:
```
ScCuOF2
1.0
4.001 0.000 0.000
0.000 4.001 0.000
0.000 0.000 4.042
Cu F Sc O
1 2 1 1
direct
0.500 0.500 0.500
0.500 0.000 0.000
0.000 0.500 0.000
0.000 0.000 0.000
0.000 0.000 0.500
```

Results
- Formation energy from raw total energies: -2.2700 eV/atom
- Symmetry: P4/mmm
- Crystal system: tetragonal